(1)
# CdOs2Au, optimized geometry, DFT PBE-GGA
# Formation enthalpy at 0 K (eV per atom): 1.296
# Space-group type: I-42d (122)
data_CdOs2Au
_cell_length_a 7.6060
_cell_length_b 7.6060
_cell_length_c 5.9624
_cell_angle_alpha 50.37
_cell_angle_beta 50.37
_cell_angle_gamma 90.00
_space_group_name_H-M_alt 'P 1'
_space_group_IT_number 1
loop_
_space_group_symop_operation_xyz
'x,y,z'
loop_
_atom_site_label
_atom_site_type_symbol
_atom_site_fract_x
_atom_site_fract_y
_atom_site_fract_z
_atom_site_occupancy
Os1 Os 0.3750 0.3561 0.7500 1
Os2 Os 0.6439 0.1250 0.2500 1
Os3 Os 0.8750 0.8939 0.7500 1
Os4 Os 0.1061 0.6250 0.2500 1
Au1 Au 0.7500 0.2500 0.5000 1
Au2 Au 0.0000 0.0000 0.0000 1
Cd1 Cd 0.5000 0.5000 0.0000 1
Cd2 Cd 0.2500 0.7500 0.5000 1



(2)
# Cd2OsAu, optimized geometry, DFT PBE-GGA
# Formation enthalpy at 0 K (eV per atom): 0.403
# Space-group type: P4/mmm (123)
# ΔE to the lowest computed polymorph (eV/atom): 0.082
data_Cd2OsAu
_cell_length_a 3.9693
_cell_length_b 4.2445
_cell_length_c 4.2445
_cell_angle_alpha 90.00
_cell_angle_beta 90.00
_cell_angle_gamma 90.00
_space_group_name_H-M_alt 'P 1'
_space_group_IT_number 1
loop_
_space_group_symop_operation_xyz
'x,y,z'
loop_
_atom_site_label
_atom_site_type_symbol
_atom_site_fract_x
_atom_site_fract_y
_atom_site_fract_z
_atom_site_occupancy
Os1 Os 0.5000 0.5000 0.0000 1
Au1 Au 0.5000 0.0000 0.5000 1
Cd1 Cd 0.0000 0.0000 0.0000 1
Cd2 Cd 0.0000 0.5000 0.5000 1